Record 1
The following is a GGA-PBE calculation of crystalline LiAcTm at its relaxed geometry, from Alexandria via LeMat-Bulk.

POSCAR file:
```
LiAcTm
1.0
11.637 0.000 0.000
0.000 5.411 0.000
-4.025 0.000 6.008
Li Ac Tm
4 4 4
Cartesian
1.165 0.000 0.752 Li
0.628 2.706 5.256 Li
6.983 2.706 0.752 Li
6.447 0.000 5.256 Li
-2.645 2.706 4.760 Ac
4.438 0.000 1.248 Ac
3.173 0.000 4.760 Ac
10.257 2.706 1.248 Ac
-0.280 0.000 3.509 Tm
2.073 2.706 2.499 Tm
5.539 2.706 3.509 Tm
7.891 0.000 2.499 Tm
```

Summary:
total DFT energy (no corrections): -3.376 eV per atom
space-group type: C2/m
total magnetic moment: 0.0 μB per cell
D(E_F): 13.3 states/eV per cell

***

Record 2
The following is a GGA-PBE calculation of crystalline La3Np2S8 at its relaxed geometry, from Alexandria via LeMat-Bulk.

POSCAR file:
```
La3Np2S8
1.0
7.169 -4.093 0.000
7.169 4.093 0.000
-2.503 0.000 6.459
La Np S
3 2 8
Cartesian
0.000 0.000 0.000 La
5.918 1.926 3.230 La
5.918 -1.926 3.230 La
1.696 0.000 5.465 Np
10.139 0.000 0.995 Np
5.051 2.244 0.518 S
0.626 0.000 2.885 S
6.784 2.244 5.941 S
4.054 0.000 4.181 S
7.781 0.000 2.279 S
5.051 -2.244 0.518 S
11.209 0.000 3.575 S
6.784 -2.244 5.941 S
```

Summary:
total DFT energy (no corrections): -7.329 eV per atom
space-group type: C2/m
total magnetic moment: 7.0 μB per cell
formation energy without anion corrections: -21.593 eV per formula unit
D(E_F): 15.8 states/eV per cell